# 1
A geometry-optimized Ta2CuAs structure, computed with PBE.

ΔE_f = 0.006 eV per atom

Unit cell a=5.181 b=5.181 c=5.181 alpha=143.43 beta=128.71 gamma=64.63
Element x y z (fractional)
Ta (0.000, 0.000, 0.000)
Ta (0.720, 0.220, 0.500)
Cu (0.462, 0.462, 0.000)
As (0.244, 0.744, 0.500)

# 2
A geometry-optimized Ta2CuAs structure, computed with PBE.

ΔE_f = 0.453 eV per atom

Unit cell a=4.540 b=4.540 c=4.540 alpha=60.00 beta=60.00 gamma=60.00
Element x y z (fractional)
Ta (0.000, 0.000, 0.000)
Ta (0.250, 0.250, 0.250)
Cu (0.750, 0.750, 0.750)
As (0.500, 0.500, 0.500)

# 3
A geometry-optimized Ta2CuAs structure, computed with PBE.

ΔE_f = 1.037 eV per atom

Unit cell a=7.124 b=7.124 c=7.124 alpha=134.19 beta=134.19 gamma=66.80
Element x y z (fractional)
Ta (0.098, 0.625, 0.973)
Ta (0.375, 0.348, 0.473)
Ta (0.652, 0.125, 0.027)
Ta (0.875, 0.902, 0.527)
Cu (0.000, 0.000, 0.000)
Cu (0.750, 0.250, 0.500)
As (0.250, 0.750, 0.500)
As (0.500, 0.500, 0.000)

# 4
A geometry-optimized Ta2CuAs structure, computed with PBE.

ΔE_f = -0.003 eV per atom

Unit cell a=2.936 b=2.936 c=8.066 alpha=90.00 beta=90.00 gamma=105.71
Element x y z (fractional)
Ta (0.000, 0.000, 0.000)
Ta (0.500, 0.500, 0.273)
Cu (0.500, 0.500, 0.753)
As (0.000, 0.000, 0.518)

# 5
A geometry-optimized TaCuAs structure, computed with PBE.

ΔE_f = 0.309 eV per atom

Unit cell a=4.194 b=4.194 c=4.194 alpha=60.00 beta=60.00 gamma=60.00
Element x y z (fractional)
Ta (0.000, 0.000, 0.000)
Cu (0.500, 0.500, 0.500)
As (0.250, 0.250, 0.250)

# 6
A geometry-optimized Ta2CuAs structure, computed with PBE.

ΔE_f = 0.022 eV per atom

Unit cell a=3.276 b=3.276 c=5.962 alpha=90.00 beta=90.00 gamma=90.00
Element x y z (fractional)
Ta (0.000, 0.000, 0.248)
Ta (0.000, 0.000, 0.752)
Cu (0.500, 0.500, 0.500)
As (0.500, 0.500, 0.000)

# 7
A geometry-optimized Ta2CuAs structure, computed with PBE.

ΔE_f = 0.109 eV per atom

Unit cell a=2.869 b=2.869 c=8.180 alpha=90.00 beta=90.00 gamma=90.00
Element x y z (fractional)
Ta (0.000, 0.000, 0.000)
Ta (0.500, 0.500, 0.278)
Cu (0.500, 0.500, 0.763)
As (0.000, 0.000, 0.525)

# 8
A geometry-optimized TaCuAs structure, computed with PBE.

ΔE_f = 0.187 eV per atom

Unit cell a=4.285 b=4.285 c=2.892 alpha=90.00 beta=90.00 gamma=120.00
Element x y z (fractional)
Ta (0.000, 0.000, 0.000)
Cu (0.667, 0.333, 0.499)
As (0.333, 0.667, 0.497)

# 9
A geometry-optimized TaCuAs3 structure, computed with PBE.

ΔE_f = 0.921 eV per atom
distance to the lowest polymorph of the same formula = 316 meV per atom

Unit cell a=4.610 b=4.610 c=4.610 alpha=90.00 beta=90.00 gamma=90.00
Element x y z (fractional)
Ta (0.000, 0.000, 0.000)
Cu (0.500, 0.500, 0.500)
As (0.000, 0.500, 0.500)
As (0.500, 0.000, 0.500)
As (0.500, 0.500, 0.000)

# 10
A geometry-optimized Ta2CuAs structure, computed with PBE.

ΔE_f = 0.051 eV per atom

Unit cell a=3.644 b=4.061 c=4.342 alpha=90.00 beta=90.00 gamma=90.00
Element x y z (fractional)
Ta (0.000, 0.000, 0.000)
Ta (0.500, 0.000, 0.500)
Cu (0.000, 0.500, 0.500)
As (0.500, 0.500, 0.000)

# 11
A geometry-optimized TaCuAs structure, computed with PBE.

ΔE_f = 0.085 eV per atom

Unit cell a=5.227 b=5.098 c=3.188 alpha=74.24 beta=69.81 gamma=35.95
Element x y z (fractional)
Ta (0.000, 0.000, 0.000)
Cu (0.327, 0.327, 0.673)
As (0.683, 0.683, 0.317)

# 12
A geometry-optimized Ta2CuAs structure, computed with PBE.

ΔE_f = -0.013 eV per atom

Unit cell a=2.952 b=3.823 c=5.873 alpha=90.00 beta=102.55 gamma=90.00
Element x y z (fractional)
Ta (0.048, 0.000, 0.245)
Ta (0.952, 0.000, 0.755)
Cu (0.500, 0.500, 0.000)
As (0.500, 0.500, 0.500)

# 13
A geometry-optimized Ta2CuAs structure, computed with PBE.

ΔE_f = -0.028 eV per atom

Unit cell a=3.461 b=3.461 c=5.502 alpha=90.00 beta=90.00 gamma=90.00
Element x y z (fractional)
Ta (0.000, 0.000, 0.000)
Ta (0.500, 0.500, 0.259)
Cu (0.500, 0.500, 0.762)
As (0.000, 0.000, 0.510)

# 14
A geometry-optimized Ta2CuAs structure, computed with PBE.

ΔE_f = -0.013 eV per atom

Unit cell a=4.832 b=4.832 c=4.832 alpha=135.05 beta=123.87 gamma=74.63
Element x y z (fractional)
Ta (0.240, 0.240, 0.000)
Ta (0.760, 0.760, 0.000)
Cu (0.500, 0.000, 0.500)
As (0.000, 0.500, 0.500)

# 15
A geometry-optimized Ta2CuAs structure, computed with PBE.

ΔE_f = 0.013 eV per atom

Unit cell a=4.644 b=4.644 c=3.067 alpha=95.32 beta=95.32 gamma=102.31
Element x y z (fractional)
Ta (0.000, 0.500, 0.000)
Ta (0.500, 0.000, 0.000)
Cu (0.000, 0.000, 0.500)
As (0.500, 0.500, 0.500)

# 16
A geometry-optimized TaCuAs structure, computed with PBE.

ΔE_f = 0.342 eV per atom

Unit cell a=4.295 b=4.295 c=4.295 alpha=60.00 beta=60.00 gamma=60.00
Element x y z (fractional)
Ta (0.000, 0.000, 0.000)
Cu (0.750, 0.750, 0.750)
As (0.250, 0.250, 0.250)

# 17
A geometry-optimized TaCuAs structure, computed with PBE.

ΔE_f = 0.075 eV per atom

Unit cell a=4.933 b=4.933 c=4.933 alpha=141.19 beta=141.19 gamma=56.04
Element x y z (fractional)
Ta (0.000, 0.000, 0.000)
Cu (0.677, 0.677, 0.000)
As (0.332, 0.332, 0.000)

# 18
A geometry-optimized Ta2CuAs structure, computed with PBE.

ΔE_f = 0.211 eV per atom

Unit cell a=9.155 b=9.155 c=9.155 alpha=18.31 beta=18.31 gamma=18.31
Element x y z (fractional)
Ta (0.249, 0.249, 0.249)
Ta (0.751, 0.751, 0.751)
Cu (0.500, 0.500, 0.500)
As (0.000, 0.000, 0.000)

# 19
A geometry-optimized Ta2CuTcAs structure, computed with PBE.

ΔE_f = 1.267 eV per atom
distance to the lowest polymorph of the same formula = 60 meV per atom

Unit cell a=4.622 b=4.622 c=4.496 alpha=90.00 beta=90.00 gamma=90.00
Element x y z (fractional)
Ta (0.000, 0.500, 0.000)
Ta (0.500, 0.000, 0.000)
Cu (0.000, 0.000, 0.000)
Tc (0.000, 0.000, 0.500)
As (0.500, 0.500, 0.500)

# 20
A geometry-optimized Ta2CuTcAs structure, computed with PBE.

ΔE_f = 1.207 eV per atom
distance to the lowest polymorph of the same formula = 0 meV per atom

Unit cell a=4.839 b=4.839 c=4.616 alpha=90.00 beta=90.00 gamma=90.00
Element x y z (fractional)
Ta (0.000, 0.500, 0.000)
Ta (0.500, 0.000, 0.000)
Cu (0.000, 0.000, 0.500)
Tc (0.500, 0.500, 0.000)
As (0.500, 0.500, 0.500)

# 21
A geometry-optimized YTaCuAs2 structure, computed with PBE.

ΔE_f = -0.042 eV per atom

Unit cell a=4.957 b=4.957 c=4.747 alpha=90.00 beta=90.00 gamma=90.00
Element x y z (fractional)
Y (0.000, 0.000, 0.000)
Ta (0.500, 0.500, 0.500)
Cu (0.500, 0.500, 0.000)
As (0.000, 0.500, 0.500)
As (0.500, 0.000, 0.500)

# 22
A geometry-optimized Tb2CuAs structure, computed with PBE.

ΔE_f = -0.166 eV per atom

Unit cell a=9.219 b=9.219 c=9.219 alpha=24.47 beta=24.47 gamma=24.47
Element x y z (fractional)
Tb (0.104, 0.104, 0.104)
Tb (0.896, 0.896, 0.896)
Cu (0.000, 0.000, 0.000)
As (0.500, 0.500, 0.500)

# 23
A geometry-optimized TbCuAs structure, computed with PBE.

ΔE_f = -0.897 eV per atom

Unit cell a=4.096 b=4.096 c=3.988 alpha=90.00 beta=90.00 gamma=120.00
Element x y z (fractional)
Tb (0.000, 0.000, 0.000)
Cu (0.667, 0.333, 0.500)
As (0.333, 0.667, 0.500)

# 24
A geometry-optimized TbCuAs structure, computed with PBE.

ΔE_f = -0.491 eV per atom

Unit cell a=8.162 b=7.407 c=6.851 alpha=69.71 beta=58.35 gamma=51.94
Element x y z (fractional)
Tb (0.040, 0.040, 0.710)
Tb (0.290, 0.290, 0.960)
Tb (0.710, 0.710, 0.040)
Tb (0.960, 0.960, 0.290)
Cu (0.000, 0.500, 0.500)
Cu (0.500, 0.000, 0.500)
Cu (0.500, 0.500, 0.000)
Cu (0.500, 0.500, 0.500)
As (0.118, 0.632, 0.632)
As (0.368, 0.882, 0.882)
As (0.632, 0.118, 0.118)
As (0.882, 0.368, 0.368)

# 25
A geometry-optimized Tb2CuAs4 structure, computed with PBE.

ΔE_f = -0.850 eV per atom

Unit cell a=4.004 b=4.004 c=9.154 alpha=90.00 beta=90.00 gamma=90.00
Element x y z (fractional)
Tb (0.000, 0.500, 0.246)
Tb (0.500, 0.000, 0.754)
Cu (0.500, 0.500, 0.000)
As (0.000, 0.000, 0.500)
As (0.000, 0.500, 0.858)
As (0.500, 0.000, 0.142)
As (0.500, 0.500, 0.500)

# 26
A geometry-optimized TbZnCuAs2 structure, computed with PBE.

ΔE_f = -0.673 eV per atom

Unit cell a=4.136 b=4.136 c=6.751 alpha=90.00 beta=90.00 gamma=120.00
Element x y z (fractional)
Tb (0.000, 0.000, 0.000)
Zn (0.667, 0.333, 0.391)
Cu (0.333, 0.667, 0.662)
As (0.333, 0.667, 0.268)
As (0.667, 0.333, 0.762)

# 27
A geometry-optimized CuTc2As structure, computed with PBE.

ΔE_f = 0.180 eV per atom

Unit cell a=5.009 b=5.009 c=5.009 alpha=143.76 beta=130.31 gamma=63.03
Element x y z (fractional)
Cu (0.000, 0.000, 0.000)
Tc (0.266, 0.766, 0.500)
Tc (0.531, 0.531, 0.000)
As (0.767, 0.267, 0.500)

# 28
A geometry-optimized CuTc3As structure, computed with PBE.

ΔE_f = 1.310 eV per atom
distance to the lowest polymorph of the same formula = 0 meV per atom

Unit cell a=4.516 b=4.516 c=4.516 alpha=90.00 beta=90.00 gamma=90.00
Element x y z (fractional)
Cu (0.000, 0.000, 0.000)
Tc (0.000, 0.500, 0.500)
Tc (0.500, 0.000, 0.500)
Tc (0.500, 0.500, 0.000)
As (0.500, 0.500, 0.500)

# 29
A geometry-optimized CuTc2As structure, computed with PBE.

ΔE_f = 0.155 eV per atom

Unit cell a=3.912 b=5.345 c=5.345 alpha=31.42 beta=90.00 gamma=90.00
Element x y z (fractional)
Cu (0.000, 0.000, 0.000)
Tc (0.000, 0.255, 0.255)
Tc (0.500, 0.643, 0.643)
As (0.500, 0.405, 0.405)

# 30
A geometry-optimized CuTcAs structure, computed with PBE.

ΔE_f = 0.161 eV per atom
distance to the lowest polymorph of the same formula = 35 meV per atom

Unit cell a=4.051 b=4.051 c=4.051 alpha=60.00 beta=60.00 gamma=60.00
Element x y z (fractional)
Cu (0.000, 0.000, 0.000)
Tc (0.500, 0.500, 0.500)
As (0.250, 0.250, 0.250)